A relaxed TiBe10Cu crystal, computed with PBE.

Geometry as CIF:
```
data_TiBe10Cu
_chemical_formula_sum 'Ti1 Be10 Cu1'
_symmetry_space_group_name_H-M 'P 1'
_symmetry_Int_Tables_number 1
_cell_length_a 3.493
_cell_length_b 4.242
_cell_length_c 7.466
_cell_angle_alpha 90.00
_cell_angle_beta 90.00
_cell_angle_gamma 90.00
loop_
_symmetry_equiv_pos_as_xyz
'x,y,z'
loop_
_atom_site_label
_atom_site_type_symbol
_atom_site_fract_x
_atom_site_fract_y
_atom_site_fract_z
Ti1 Ti 0.000 0.000 0.000
Be1 Be 0.000 0.000 0.339
Be2 Be 0.000 0.000 0.661
Be3 Be 0.000 0.500 0.183
Be4 Be 0.000 0.500 0.817
Be5 Be 0.500 0.000 0.500
Be6 Be 0.500 0.241 0.244
Be7 Be 0.500 0.241 0.756
Be8 Be 0.500 0.500 0.000
Be9 Be 0.500 0.759 0.244
Be10 Be 0.500 0.759 0.756
Cu1 Cu 0.000 0.500 0.500
```

Output
E_form = -96 meV per atom
total energy = -50.40 eV for the cell shown